[1]
Cr2Se2Br | PBE | relaxed

Structure (extended XYZ):
```
5
Lattice="-1.867 -2.083 -2.443 3.442 1.206 -3.658 2.528 -4.345 4.595" Properties=species:S:1:pos:R:3 pbc="T T T"
Se 2.043 -2.249 -2.466
Br 0.000 0.000 0.000
Se 2.061 -2.973 0.960
Cr 0.202 -2.679 -0.693
Cr 3.902 -2.543 -0.814
```

## Properties
The total DFT energy (no corrections) is -30.23 eV per cell. The value obtained for the density of states at the Fermi level is 2.13 states/eV per cell. For the energy relative to the elements, uncorrected, the calculation gives -0.47 eV per atom. As for the space-group type: Immm (71).

=====

[2]
ZrSeSCl2 | PBE | relaxed

Structure (extended XYZ):
```
5
Lattice="5.114 0.000 0.000 0.000 5.114 0.000 0.000 0.000 4.974" Properties=species:S:1:pos:R:3 pbc="T T T"
Se 2.557 2.557 2.487
Cl 2.557 0.000 0.000
S 0.000 0.000 2.487
Cl 0.000 2.557 0.000
Zr 0.000 0.000 0.000
```

## Properties
The total DFT energy (no corrections) is -23.04 eV per cell. The value obtained for the density of states at the Fermi level is 3.44 states/eV per cell. For the energy relative to the elements, uncorrected, the calculation gives -0.64 eV per atom. The value obtained for the distance to the lowest polymorph of the same formula is 0.00 eV per formula unit. As for the space-group type: P4/mmm (123).

=====

[3]
ZrBr3 | PBE | relaxed

Structure (extended XYZ):
```
8
Lattice="3.610 0.000 0.000 0.000 5.380 0.000 0.000 0.000 13.890" Properties=species:S:1:pos:R:3 pbc="T T T"
Br 0.783 0.000 6.945
Br 1.021 0.000 11.866
Zr 2.826 0.000 0.000
Br 2.827 2.690 0.000
Br 1.021 0.000 2.024
Zr 0.784 2.690 6.945
Br 2.589 2.690 4.921
Br 2.589 2.690 8.969
```

## Properties
The total DFT energy (no corrections) is -37.23 eV per cell. The value obtained for the density of states at the Fermi level is 3.59 states/eV per cell. For the energy relative to the elements, uncorrected, the calculation gives -1.26 eV per atom. As for the space-group type: Pmmn (59).

=====

[4]
AcPm6Er | PBE | relaxed

Structure (extended XYZ):
```
8
Lattice="6.417 0.060 2.453 0.534 6.803 -0.004 1.062 -0.290 6.875" Properties=species:S:1:pos:R:3 pbc="T T T"
Ac 0.000 0.000 0.000
Pm 4.986 4.807 8.019
Pm 3.443 1.615 4.580
Pm 3.027 1.765 1.305
Pm 6.534 1.773 5.926
Pm 4.569 4.957 4.744
Er 0.267 3.401 -0.002
Pm 1.478 4.799 3.398
```

## Properties
The total DFT energy (no corrections) is -35.72 eV per cell. The calculation puts the calculated formation energy at 140 kJ/mol of formula units. The value obtained for the density of states at the Fermi level is 12.16 states/eV per cell. The value obtained for the distance to the lowest polymorph of the same formula is 1.21 eV per formula unit. As for the space-group type: P-1 (2).